(1)
## Ba6Ga2N (PBE-GGA)

Data for crystalline Ba6Ga2N at its relaxed geometry.

Geometry as POSCAR:
```
Ba6Ga2N
1.0
7.827 0.000 0.000
0.000 8.290 0.000
-7.722 0.000 11.236
Ba Ga N
12 4 2
Cartesian
-0.750 0.169 2.628
-4.611 3.976 8.247
1.396 5.923 0.532
-2.465 6.513 6.150
2.248 1.504 0.601
-1.613 2.641 6.219
1.718 5.649 5.017
-2.143 6.786 10.635
2.569 1.778 5.086
-1.292 2.368 10.704
4.716 4.315 2.990
0.854 8.121 8.608
-3.621 0.628 8.387
0.240 3.517 2.769
-0.135 4.773 8.468
3.726 7.662 2.849
0.000 0.000 0.000
-3.861 4.145 5.618
```

- Raw total energy: -57.01 eV for the cell shown
- E_form (uncorrected): -0.288 eV per atom
- Offset from the most stable computed form: 0 meV/atom
- SG: P2_1/c

=====

(2)
## Ba3GaN (PBE-GGA)

Data for crystalline Ba3GaN at its relaxed geometry.

Geometry as POSCAR:
```
Ba3GaN
1.0
7.470 0.000 0.000
3.728 6.525 0.000
1.218 2.159 7.446
Ba Ga N
6 2 2
Cartesian
7.945 0.840 1.524
4.471 7.844 5.922
4.942 3.402 1.671
4.523 2.651 5.764
7.894 6.033 1.682
7.474 5.282 5.775
3.085 5.373 4.100
9.332 3.311 3.346
6.825 7.591 7.445
5.591 1.093 0.001
```

- Raw total energy: -37.41 eV for the cell shown
- E_form (uncorrected): -0.317 eV per atom
- Offset from the most stable computed form: 0 meV/atom
- SG: P-1

=====

(3)
## Ba8Ga2N (PBE-GGA)

Data for crystalline Ba8Ga2N at its relaxed geometry.

Geometry as POSCAR:
```
Ba8Ga2N
1.0
10.193 -3.101 0.000
10.193 3.101 0.000
-1.885 0.000 7.165
Ba Ga N
8 2 1
Cartesian
0.192 0.000 2.100
2.870 0.000 5.795
6.260 0.000 4.123
8.291 0.000 1.170
10.209 0.000 5.996
12.240 0.000 3.042
15.630 0.000 1.370
18.308 0.000 5.065
3.537 0.000 1.893
14.963 0.000 5.272
9.250 0.000 3.583
```

- Raw total energy: -30.49 eV for the cell shown
- E_form (uncorrected): -0.066 eV per atom
- SG: C2/m

=====

(4)
## Ba2Ga2N3 (PBE-GGA)

Data for crystalline Ba2Ga2N3 at its relaxed geometry.

Geometry as POSCAR:
```
Ba2Ga2N3
1.0
6.368 -1.836 0.000
6.368 1.836 0.000
-2.786 0.000 5.479
Ba Ga N
2 2 3
Cartesian
0.351 0.000 1.767
9.598 0.000 3.712
3.828 0.000 0.953
6.122 0.000 4.526
0.812 0.000 4.400
4.975 0.000 2.740
9.137 0.000 1.079
```

- Raw total energy: -36.73 eV for the cell shown
- E_form (uncorrected): -0.265 eV per atom
- SG: C2/m

=====

(5)
## BaGa2N2 (PBE-GGA)

Data for crystalline BaGa2N2 at its relaxed geometry.

Geometry as POSCAR:
```
BaGa2N2
1.0
2.786 -8.989 0.000
2.786 8.989 0.000
-2.148 0.000 4.440
Ba Ga N
2 4 4
Cartesian
1.175 6.838 3.330
2.249 -6.838 1.110
0.190 3.475 4.174
2.159 3.475 2.486
1.264 -3.475 1.954
3.233 -3.475 0.266
2.249 5.125 1.110
2.249 2.132 1.110
1.175 -2.132 3.330
1.175 -5.125 3.330
```

- Raw total energy: -51.58 eV for the cell shown
- E_form (uncorrected): -0.233 eV per atom
- SG: C2/c

=====

(6)
## Ba6GaN (PBE-GGA)

Data for crystalline Ba6GaN at its relaxed geometry.

Geometry as POSCAR:
```
Ba6GaN
1.0
3.866 2.232 7.209
-3.866 2.232 7.209
0.000 -4.464 7.209
Ba Ga N
6 1 1
Cartesian
-1.229 -1.924 9.155
-2.280 0.102 12.473
-1.052 2.026 9.155
1.052 -2.026 12.473
2.280 -0.102 9.155
1.229 1.924 12.473
0.000 0.000 0.000
0.000 0.000 10.814
```

- Raw total energy: -24.17 eV for the cell shown
- E_form (uncorrected): -0.160 eV per atom
- SG: R-3

=====

The records above yield total magnetic moment values of 0.3, 0.0, 0.0, 0.0, 0.0, 0.4 μB/f.u., respectively.